The following is a PBE-GGA calculation of a relaxed Mg2ZrFe crystal, from Alexandria via LeMat-Bulk.

Values from the calculation:
The calculation puts the total magnetic moment at 1.3 μB/f.u. As for the energy of formation from the pure elements: 0.162 eV per atom. The density of states at the Fermi level comes out at 2.50 states/eV per cell.

Geometry as CIF:
```
data_Mg2ZrFe
_cell_length_a 5.597
_cell_length_b 5.597
_cell_length_c 5.023
_cell_angle_alpha 116.07
_cell_angle_beta 116.07
_cell_angle_gamma 33.29
_space_group_name_H-M_alt 'P 1'
_space_group_IT_number 1
loop_
_space_group_symop_operation_xyz
'x,y,z'
loop_
_atom_site_label
_atom_site_type_symbol
_atom_site_fract_x
_atom_site_fract_y
_atom_site_fract_z
Mg1 Mg 0.000 0.000 0.000
Mg2 Mg 0.220 0.220 0.724
Zr1 Zr 0.428 0.428 0.430
Fe1 Fe 0.724 0.724 0.230
```



The following is a PBE-GGA calculation of a relaxed Pr5Sc4Sn4 crystal, from Alexandria via LeMat-Bulk.

Values from the calculation:
The calculation puts the total magnetic moment at 3.1 μB/f.u. As for the energy of formation from the pure elements: -0.557 eV per atom. The density of states at the Fermi level comes out at 16.99 states/eV per cell.

Geometry as CIF:
```
data_Pr5Sc4Sn4
_cell_length_a 9.473
_cell_length_b 9.473
_cell_length_c 9.473
_cell_angle_alpha 93.23
_cell_angle_beta 93.23
_cell_angle_gamma 152.55
_space_group_name_H-M_alt 'P 1'
_space_group_IT_number 1
loop_
_space_group_symop_operation_xyz
'x,y,z'
loop_
_atom_site_label
_atom_site_type_symbol
_atom_site_fract_x
_atom_site_fract_y
_atom_site_fract_z
Pr1 Pr 0.000 0.000 0.000
Pr2 Pr 0.294 0.373 0.667
Pr3 Pr 0.373 0.706 0.079
Pr4 Pr 0.627 0.294 0.921
Pr5 Pr 0.706 0.627 0.333
Sc1 Sc 0.094 0.583 0.677
Sc2 Sc 0.417 0.094 0.512
Sc3 Sc 0.583 0.906 0.488
Sc4 Sc 0.906 0.417 0.323
Sn1 Sn 0.066 0.248 0.314
Sn2 Sn 0.248 0.934 0.182
Sn3 Sn 0.752 0.066 0.818
Sn4 Sn 0.934 0.752 0.686
```



The following is a PBE-GGA calculation of a relaxed MgBe2C crystal, from Alexandria via LeMat-Bulk.

Values from the calculation:
The calculation puts the total magnetic moment at 0.0 μB/f.u. As for the energy of formation from the pure elements: 0.102 eV per atom. The value obtained for the energy relative to the lowest polymorph listed for this composition is 149 meV per atom. The density of states at the Fermi level comes out at 0.74 states/eV per cell.

Geometry as CIF:
```
data_MgBe2C
_cell_length_a 3.029
_cell_length_b 6.886
_cell_length_c 4.365
_cell_angle_alpha 90.00
_cell_angle_beta 90.00
_cell_angle_gamma 90.00
_space_group_name_H-M_alt 'P 1'
_space_group_IT_number 1
loop_
_space_group_symop_operation_xyz
'x,y,z'
loop_
_atom_site_label
_atom_site_type_symbol
_atom_site_fract_x
_atom_site_fract_y
_atom_site_fract_z
Mg1 Mg 0.000 0.116 0.000
Mg2 Mg 0.500 0.884 0.500
Be1 Be 0.000 0.584 0.561
Be2 Be 0.000 0.632 0.022
Be3 Be 0.500 0.368 0.522
Be4 Be 0.500 0.416 0.061
C1 C 0.000 0.401 0.278
C2 C 0.500 0.599 0.778
```



The following is a PBE-GGA calculation of a relaxed Na4DyTm3S8 crystal, from Alexandria via LeMat-Bulk.

Values from the calculation:
The calculation puts the total magnetic moment at 0.0 μB/f.u. The uncorrected formation energy is -29.66 eV per formula unit. The density of states at the Fermi level comes out at 0.00 states/eV per cell.

Geometry as CIF:
```
data_Na4DyTm3S8
_cell_length_a 8.080
_cell_length_b 8.080
_cell_length_c 8.080
_cell_angle_alpha 58.44
_cell_angle_beta 58.44
_cell_angle_gamma 58.44
_space_group_name_H-M_alt 'P 1'
_space_group_IT_number 1
loop_
_space_group_symop_operation_xyz
'x,y,z'
loop_
_atom_site_label
_atom_site_type_symbol
_atom_site_fract_x
_atom_site_fract_y
_atom_site_fract_z
Na1 Na 0.000 0.000 0.000
Na2 Na 0.000 0.500 0.500
Na3 Na 0.500 0.000 0.500
Na4 Na 0.500 0.500 0.000
Dy1 Dy 0.500 0.500 0.500
Tm1 Tm 0.000 0.000 0.500
Tm2 Tm 0.000 0.500 0.000
Tm3 Tm 0.500 0.000 0.000
S1 S 0.239 0.743 0.743
S2 S 0.241 0.241 0.241
S3 S 0.257 0.257 0.761
S4 S 0.257 0.761 0.257
S5 S 0.743 0.239 0.743
S6 S 0.743 0.743 0.239
S7 S 0.759 0.759 0.759
S8 S 0.761 0.257 0.257
```



The following is a PBE-GGA calculation of a relaxed BaLiBiAu crystal, from Alexandria via LeMat-Bulk.

Values from the calculation:
The calculation puts the total magnetic moment at 0.0 μB/f.u. As for the energy of formation from the pure elements: -0.487 eV per atom. The density of states at the Fermi level comes out at 2.11 states/eV per cell.

Geometry as CIF:
```
data_BaLiBiAu
_cell_length_a 5.397
_cell_length_b 5.397
_cell_length_c 5.397
_cell_angle_alpha 60.00
_cell_angle_beta 60.00
_cell_angle_gamma 60.00
_space_group_name_H-M_alt 'P 1'
_space_group_IT_number 1
loop_
_space_group_symop_operation_xyz
'x,y,z'
loop_
_atom_site_label
_atom_site_type_symbol
_atom_site_fract_x
_atom_site_fract_y
_atom_site_fract_z
Ba1 Ba 0.000 0.000 0.000
Li1 Li 0.250 0.250 0.250
Bi1 Bi 0.500 0.500 0.500
Au1 Au 0.750 0.750 0.750
```



The following is a PBE-GGA calculation of a relaxed Pa2Tl2O7 crystal, from Alexandria via LeMat-Bulk.

Values from the calculation:
The calculation puts the total magnetic moment at 0.0 μB/f.u. The uncorrected formation energy is -27.13 eV per formula unit. The density of states at the Fermi level comes out at 2.25 states/eV per cell.

Geometry as CIF:
```
data_Pa2Tl2O7
_cell_length_a 8.107
_cell_length_b 8.107
_cell_length_c 8.107
_cell_angle_alpha 60.00
_cell_angle_beta 60.00
_cell_angle_gamma 60.00
_space_group_name_H-M_alt 'P 1'
_space_group_IT_number 1
loop_
_space_group_symop_operation_xyz
'x,y,z'
loop_
_atom_site_label
_atom_site_type_symbol
_atom_site_fract_x
_atom_site_fract_y
_atom_site_fract_z
Pa1 Pa 0.000 0.000 0.000
Pa2 Pa 0.000 0.000 0.500
Pa3 Pa 0.000 0.500 0.000
Pa4 Pa 0.500 0.000 0.000
Tl1 Tl 0.000 0.500 0.500
Tl2 Tl 0.500 0.000 0.500
Tl3 Tl 0.500 0.500 0.000
Tl4 Tl 0.500 0.500 0.500
O1 O 0.070 0.070 0.680
O2 O 0.070 0.680 0.070
O3 O 0.070 0.680 0.680
O4 O 0.320 0.320 0.930
O5 O 0.320 0.930 0.320
O6 O 0.320 0.930 0.930
O7 O 0.375 0.375 0.375
O8 O 0.625 0.625 0.625
O9 O 0.680 0.070 0.070
O10 O 0.680 0.070 0.680
O11 O 0.680 0.680 0.070
O12 O 0.930 0.320 0.320
O13 O 0.930 0.320 0.930
O14 O 0.930 0.930 0.320
```



The following is a PBE-GGA calculation of a relaxed Y2Ga6CoPd crystal, from Alexandria via LeMat-Bulk.

Values from the calculation:
The calculation puts the total magnetic moment at 0.0 μB/f.u. As for the energy of formation from the pure elements: -0.298 eV per atom. The density of states at the Fermi level comes out at 6.36 states/eV per cell.

Geometry as CIF:
```
data_Y2Ga6CoPd
_cell_length_a 6.579
_cell_length_b 6.579
_cell_length_c 6.579
_cell_angle_alpha 60.00
_cell_angle_beta 60.00
_cell_angle_gamma 60.00
_space_group_name_H-M_alt 'P 1'
_space_group_IT_number 1
loop_
_space_group_symop_operation_xyz
'x,y,z'
loop_
_atom_site_label
_atom_site_type_symbol
_atom_site_fract_x
_atom_site_fract_y
_atom_site_fract_z
Y1 Y 0.250 0.250 0.250
Y2 Y 0.750 0.750 0.750
Ga1 Ga 0.242 0.242 0.758
Ga2 Ga 0.242 0.758 0.242
Ga3 Ga 0.242 0.758 0.758
Ga4 Ga 0.758 0.242 0.242
Ga5 Ga 0.758 0.242 0.758
Ga6 Ga 0.758 0.758 0.242
Co1 Co 0.000 0.000 0.000
Pd1 Pd 0.500 0.500 0.500
```



The following is a PBE-GGA calculation of a relaxed Er4Si2O crystal, from Alexandria via LeMat-Bulk.

Values from the calculation:
The calculation puts the total magnetic moment at 0.0 μB/f.u. The uncorrected formation energy is -8.68 eV per formula unit. The density of states at the Fermi level comes out at 6.93 states/eV per cell.

Geometry as CIF:
```
data_Er4Si2O
_cell_length_a 8.334
_cell_length_b 8.334
_cell_length_c 8.334
_cell_angle_alpha 149.22
_cell_angle_beta 149.22
_cell_angle_gamma 44.09
_space_group_name_H-M_alt 'P 1'
_space_group_IT_number 1
loop_
_space_group_symop_operation_xyz
'x,y,z'
loop_
_atom_site_label
_atom_site_type_symbol
_atom_site_fract_x
_atom_site_fract_y
_atom_site_fract_z
Er1 Er 0.000 0.500 0.500
Er2 Er 0.177 0.177 0.000
Er3 Er 0.500 0.000 0.500
Er4 Er 0.823 0.823 0.000
Si1 Si 0.364 0.364 0.000
Si2 Si 0.636 0.636 0.000
O1 O 0.000 0.000 0.000
```



The following is a PBE-GGA calculation of a relaxed Ba2PbCl crystal, from Alexandria via LeMat-Bulk.

Values from the calculation:
The calculation puts the total magnetic moment at 0.0 μB/f.u. The value obtained for the energy relative to the lowest polymorph listed for this composition is 0 meV per atom. The uncorrected formation energy is -4.91 eV per formula unit. The density of states at the Fermi level comes out at 2.83 states/eV per cell.

Geometry as CIF:
```
data_Ba2PbCl
_cell_length_a 6.254
_cell_length_b 6.254
_cell_length_c 4.225
_cell_angle_alpha 90.00
_cell_angle_beta 90.00
_cell_angle_gamma 90.00
_space_group_name_H-M_alt 'P 1'
_space_group_IT_number 1
loop_
_space_group_symop_operation_xyz
'x,y,z'
loop_
_atom_site_label
_atom_site_type_symbol
_atom_site_fract_x
_atom_site_fract_y
_atom_site_fract_z
Ba1 Ba 0.000 0.500 0.000
Ba2 Ba 0.500 0.000 0.000
Pb1 Pb 0.000 0.000 0.500
Cl1 Cl 0.500 0.500 0.000
```



The following is a PBE-GGA calculation of a relaxed SiRu crystal, from Alexandria via LeMat-Bulk.

Values from the calculation:
The calculation puts the total magnetic moment at 0.0 μB/f.u. The uncorrected formation energy is 0.52 eV per formula unit.

Geometry as CIF:
```
data_SiRu
_cell_length_a 3.757
_cell_length_b 3.757
_cell_length_c 3.757
_cell_angle_alpha 60.00
_cell_angle_beta 60.00
_cell_angle_gamma 60.00
_space_group_name_H-M_alt 'P 1'
_space_group_IT_number 1
loop_
_space_group_symop_operation_xyz
'x,y,z'
loop_
_atom_site_label
_atom_site_type_symbol
_atom_site_fract_x
_atom_site_fract_y
_atom_site_fract_z
Si1 Si 0.000 0.000 0.000
Ru1 Ru 0.750 0.750 0.750
```



The following is a PBE-GGA calculation of a relaxed Tb5SmTl8 crystal, from Alexandria via LeMat-Bulk.

Values from the calculation:
The calculation puts the total magnetic moment at 0.0 μB/f.u. As for the energy of formation from the pure elements: -0.255 eV per atom. The density of states at the Fermi level comes out at 12.13 states/eV per cell.

Geometry as CIF:
```
data_Tb5SmTl8
_cell_length_a 8.073
_cell_length_b 8.073
_cell_length_c 8.073
_cell_angle_alpha 109.74
_cell_angle_beta 109.74
_cell_angle_gamma 108.94
_space_group_name_H-M_alt 'P 1'
_space_group_IT_number 1
loop_
_space_group_symop_operation_xyz
'x,y,z'
loop_
_atom_site_label
_atom_site_type_symbol
_atom_site_fract_x
_atom_site_fract_y
_atom_site_fract_z
Tb1 Tb 0.000 0.000 0.000
Tb2 Tb 0.129 0.250 0.623
Tb3 Tb 0.494 0.871 0.121
Tb4 Tb 0.627 0.506 0.377
Tb5 Tb 0.750 0.373 0.879
Sm1 Sm 0.250 0.750 0.500
Tl1 Tl 0.034 0.619 0.750
Tl2 Tl 0.210 0.457 0.082
Tl3 Tl 0.376 0.128 0.918
Tl4 Tl 0.381 0.131 0.415
Tl5 Tl 0.543 0.624 0.753
Tl6 Tl 0.715 0.966 0.585
Tl7 Tl 0.869 0.285 0.250
Tl8 Tl 0.872 0.790 0.247
```



The following is a PBE-GGA calculation of a relaxed Ce3DyTc crystal, from Alexandria via LeMat-Bulk.

Values from the calculation:
The calculation puts the total magnetic moment at 1.7 μB/f.u. As for the energy of formation from the pure elements: 0.129 eV per atom. The value obtained for the energy relative to the lowest polymorph listed for this composition is 142 meV per atom. The density of states at the Fermi level comes out at 14.83 states/eV per cell.

Geometry as CIF:
```
data_Ce3DyTc
_cell_length_a 5.359
_cell_length_b 5.359
_cell_length_c 5.359
_cell_angle_alpha 90.00
_cell_angle_beta 90.00
_cell_angle_gamma 90.00
_space_group_name_H-M_alt 'P 1'
_space_group_IT_number 1
loop_
_space_group_symop_operation_xyz
'x,y,z'
loop_
_atom_site_label
_atom_site_type_symbol
_atom_site_fract_x
_atom_site_fract_y
_atom_site_fract_z
Ce1 Ce 0.000 0.000 0.500
Ce2 Ce 0.000 0.500 0.000
Ce3 Ce 0.500 0.000 0.000
Dy1 Dy 0.500 0.500 0.500
Tc1 Tc 0.000 0.000 0.000
```